[1]
The following is a PBE calculation of a relaxed structure of Na2Y2GeO6, from the Alexandria database.

Cell lengths 5.6970, 5.6970, 5.8641 Å; angles 96.99, 96.99, 119.80 degrees
Element x y z (fractional)
1 Na 0.8550 0.1450 0.0000
2 Na 0.1450 0.8550 0.0000
3 Y 0.3349 0.6651 0.5000
4 Y 0.6651 0.3349 0.5000
5 Ge 0.0000 0.0000 0.5000
6 O 0.7674 0.7674 0.6896
7 O 0.0417 0.3436 0.6885
8 O 0.2326 0.2326 0.3104
9 O 0.3436 0.0417 0.6885
10 O 0.9583 0.6564 0.3115
11 O 0.6564 0.9583 0.3115

Properties
E_form (uncorrected) = -26.57 eV per formula unit
total magnetization = 0.00 μB per formula unit
VASP energy = -6.9550 eV/atom

***

[2]
The following is a PBE calculation of a relaxed structure of NaYGeO4, from the Alexandria database.

Cell lengths 5.3348, 6.5221, 11.5309 Å; angles 90.00, 90.00, 90.00 degrees
Element x y z (fractional)
1 Na 0.0000 0.0000 0.0000
2 Na 0.0000 0.5000 0.0000
3 Na 0.5000 0.0000 0.5000
4 Na 0.5000 0.5000 0.5000
5 Y 0.0040 0.7500 0.2777
6 Y 0.9960 0.2500 0.7223
7 Y 0.4960 0.7500 0.7777
8 Y 0.5040 0.2500 0.2223
9 Ge 0.9457 0.2500 0.4027
10 Ge 0.5543 0.2500 0.9027
11 Ge 0.0543 0.7500 0.5973
12 Ge 0.4457 0.7500 0.0973
13 O 0.7923 0.4573 0.3260
14 O 0.2923 0.5427 0.1740
15 O 0.2077 0.9573 0.6740
16 O 0.7077 0.0427 0.8260
17 O 0.2077 0.5427 0.6740
18 O 0.7077 0.4573 0.8260
19 O 0.7923 0.0427 0.3260
20 O 0.2923 0.9573 0.1740
21 O 0.1742 0.7500 0.4547
22 O 0.6742 0.2500 0.0453
23 O 0.8258 0.2500 0.5453
24 O 0.3258 0.7500 0.9547
25 O 0.7281 0.7500 0.6105
26 O 0.2281 0.2500 0.8895
27 O 0.2719 0.2500 0.3895
28 O 0.7719 0.7500 0.1105

Properties
E_form (uncorrected) = -17.26 eV per formula unit
total magnetization = 0.00 μB per formula unit
VASP energy = -7.0710 eV/atom

***

[3]
The following is a PBE calculation of a relaxed structure of Na4Y3GeO8, from the Alexandria database.

Cell lengths 6.7403, 6.8022, 6.7403 Å; angles 119.70, 120.00, 90.00 degrees
Element x y z (fractional)
1 Na 0.5000 0.0000 0.0000
2 Na 0.5000 0.0000 0.5000
3 Na 0.0000 0.0000 0.0000
4 Na 0.0000 0.0000 0.5000
5 Y 0.5000 0.5000 0.0000
6 Y 0.5000 0.5000 0.5000
7 Y 0.0000 0.5000 0.5000
8 Ge 0.0000 0.5000 0.0000
9 O 0.2298 0.7096 0.9798
10 O 0.2299 0.7097 0.4597
11 O 0.2626 0.2877 0.5252
12 O 0.7500 0.7096 0.9798
13 O 0.2500 0.2904 0.0202
14 O 0.7374 0.7123 0.4748
15 O 0.7701 0.2903 0.5403
16 O 0.7702 0.2904 0.0202

Properties
E_form (uncorrected) = -38.16 eV per formula unit
total magnetization = 0.00 μB per formula unit
VASP energy = -6.6946 eV/atom

***

[4]
The following is a PBE calculation of a relaxed structure of Na3Y3GeO8, from the Alexandria database.

Cell lengths 6.6703, 6.6704, 6.7590 Å; angles 119.56, 90.00, 120.00 degrees
Element x y z (fractional)
1 Na 0.0000 0.0000 0.0000
2 Na 0.0000 0.5000 0.0000
3 Na 0.5000 0.5000 0.0000
4 Y 0.5000 0.0000 0.5000
5 Y 0.5000 0.5000 0.5000
6 Y 0.0000 0.5000 0.5000
7 Ge 0.0000 0.0000 0.5000
8 O 0.2638 0.5276 0.2913
9 O 0.7362 0.4724 0.7087
10 O 0.7896 0.5791 0.3055
11 O 0.2104 0.4209 0.6945
12 O 0.7896 0.0159 0.3055
13 O 0.2104 0.9841 0.6945
14 O 0.2264 0.0159 0.3055
15 O 0.7736 0.9841 0.6945

Properties
E_form (uncorrected) = -37.89 eV per formula unit
total magnetization = 0.00 μB per formula unit
VASP energy = -7.0346 eV/atom

***

Repeat the first record exactly.
The following is a PBE calculation of a relaxed structure of Na2Y2GeO6, from the Alexandria database.

Cell lengths 5.6970, 5.6970, 5.8641 Å; angles 96.99, 96.99, 119.80 degrees
Element x y z (fractional)
1 Na 0.8550 0.1450 0.0000
2 Na 0.1450 0.8550 0.0000
3 Y 0.3349 0.6651 0.5000
4 Y 0.6651 0.3349 0.5000
5 Ge 0.0000 0.0000 0.5000
6 O 0.7674 0.7674 0.6896
7 O 0.0417 0.3436 0.6885
8 O 0.2326 0.2326 0.3104
9 O 0.3436 0.0417 0.6885
10 O 0.9583 0.6564 0.3115
11 O 0.6564 0.9583 0.3115

Properties
E_form (uncorrected) = -26.57 eV per formula unit
total magnetization = 0.00 μB per formula unit
VASP energy = -6.9550 eV/atom